Below is an optimized crystal structure of CsKAg2I5, with properties calculated at the PBE-GGA level.

SG: P4/mmm
Volume: 378.9 Å³/cell
Formation energy from raw total energies: -765 meV per atom
Total moment: 0.000 μB per atom
VASP energy: -2.48 eV per atom

POSCAR file:
```
CsKAg2I5
1.0
5.693 0.000 0.000
0.000 5.693 0.000
0.000 0.000 11.692
Ag I Cs K
2 5 1 1
direct
0.500 0.500 0.755
0.500 0.500 0.245
0.500 0.000 0.200
0.000 0.500 0.200
0.500 0.500 0.500
0.000 0.500 0.800
0.500 0.000 0.800
0.000 0.000 0.500
0.000 0.000 0.000
```

***

Below is an optimized crystal structure of Sc3CdHg3, with properties calculated at the PBE-GGA level.

SG: Cmmm
Volume: 326.0 Å³/cell
Total moment: 0.082 μB per atom
VASP energy: -3.23 eV per atom
Calculated formation energy: -25 kJ per mole of atoms

POSCAR file:
```
Sc3CdHg3
1.0
7.006 -0.078 -0.001
-0.062 7.006 -0.001
0.001 0.001 6.644
Sc Hg Cd
6 6 2
direct
0.500 0.000 0.751
0.000 0.500 0.249
0.000 0.500 0.751
0.000 0.000 0.753
0.000 0.000 0.247
0.500 0.000 0.249
0.734 0.266 0.500
0.729 0.729 0.500
0.256 0.744 0.000
0.271 0.271 0.500
0.744 0.256 0.000
0.266 0.734 0.500
0.308 0.308 0.000
0.692 0.692 0.000
```

***

Which value of total moment does entry 2 give? 0.082 μB per atom

***

The lowest total moment belongs to which entry? CsKAg2I5